Record 1
The following is a DFT calculation (SCAN) of a crystal of KMo6S8 relaxed with PBEsol.

Formation energy without anion corrections (eV per atom): -0.851
Volume (Å³ per atom): 18.3
SG: R-3, No. 148
N(E_F) (states/eV per cell): 8.32

abc: 6.5021 6.5021 6.5021
angles: 88.53 88.53 88.53
Closest atoms and distances in Å follow each position.
Positions (direct):
K: 0.0000 0.0000 0.0000  2 S 2.82
Mo: 0.2212 0.5631 0.4106  5 S 2.36-2.48
Mo: 0.4105 0.2212 0.5631  5 S 2.36-2.48
Mo: 0.4369 0.5895 0.7788  5 S 2.36-2.48
Mo: 0.5631 0.4105 0.2212  5 S 2.36-2.48
Mo: 0.5895 0.7788 0.4369  5 S 2.36-2.48
Mo: 0.7788 0.4369 0.5895  5 S 2.36-2.48
S: 0.1247 0.3960 0.7379  4 Mo 2.43-2.48
S: 0.2440 0.2440 0.2440  3 Mo 2.36
S: 0.2621 0.8753 0.6040  4 Mo 2.43-2.48
S: 0.3960 0.7379 0.1247  4 Mo 2.43-2.48
S: 0.6040 0.2621 0.8753  4 Mo 2.43-2.48
S: 0.7379 0.1247 0.3960  4 Mo 2.43-2.48
S: 0.7560 0.7560 0.7560  3 Mo 2.36
S: 0.8753 0.6040 0.2621  4 Mo 2.43-2.48


Record 2
The following is a DFT calculation (SCAN) of a crystal of LiCoPO4 relaxed with PBEsol.

Formation energy without anion corrections (eV per atom): -2.201
Volume (Å³ per atom): 11.7
SG: P2_12_12_1, No. 19
N(E_F) (states/eV per cell): 0.00

abc: 4.8884 7.0981 9.4519
angles: 90.00 90.00 90.00
Closest atoms and distances in Å follow each position.
Positions (direct):
Li: 0.1456 0.2332 0.1062  4 O 1.95-2.01
Li: 0.3544 0.7668 0.6062  4 O 1.95-2.01
Li: 0.6456 0.2668 0.8938  4 O 1.95-2.01
Li: 0.8544 0.7332 0.3938  4 O 1.95-2.01
Co: 0.0424 0.5863 0.9787  4 O 1.94-1.98
Co: 0.4576 0.4137 0.4787  4 O 1.94-1.98
Co: 0.5424 0.9137 0.0213  4 O 1.94-1.98
Co: 0.9576 0.0863 0.5213  4 O 1.94-1.98
P: 0.1141 0.9965 0.8464  4 O 1.54-1.58
P: 0.3859 0.0035 0.3464  4 O 1.54-1.58
P: 0.6141 0.5035 0.1536  4 O 1.54-1.58
P: 0.8859 0.4965 0.6536  4 O 1.54-1.58
O: 0.1483 0.9856 0.6844  1 P 1.54
O: 0.1892 0.5144 0.6124  1 P 1.54
O: 0.2164 0.8452 0.4145  1 P 1.54
O: 0.2408 0.8073 0.9064  1 P 1.58
O: 0.2592 0.1927 0.4064  1 P 1.58
O: 0.2836 0.1548 0.9145  1 P 1.54
O: 0.3108 0.4856 0.1124  1 P 1.54
O: 0.3517 0.0144 0.1844  1 P 1.54
O: 0.6483 0.5144 0.3156  1 P 1.54
O: 0.6892 0.9856 0.3876  1 P 1.54
O: 0.7164 0.6548 0.5855  1 P 1.54
O: 0.7408 0.6927 0.0936  1 P 1.58
O: 0.7592 0.3073 0.5936  1 P 1.58
O: 0.7836 0.3452 0.0855  1 P 1.54
O: 0.8108 0.0144 0.8876  1 P 1.54
O: 0.8517 0.4856 0.8156  1 P 1.54


Record 3
The following is a DFT calculation (SCAN) of a crystal of Al2FeBr relaxed with PBEsol.

Formation energy without anion corrections (eV per atom): 0.215
Volume (Å³ per atom): 17.0
SG: P4mm, No. 99
N(E_F) (states/eV per cell): 2.13

abc: 3.0231 3.0231 7.4457
angles: 90.00 90.00 90.00
Closest atoms and distances in Å follow each position.
Positions (direct):
Al: 0.0000 0.0000 0.0000  4 Fe 2.57, 4 Al 2.82
Al: 0.5000 0.5000 0.2471  8 Al 2.82-3.02
Fe: 0.5000 0.5000 0.8095  4 Al 2.57, 4 Br 2.66
Br: 0.0000 0.0000 0.5979  4 Fe 2.66